Compound: Sc2SiTc3
Source: Alexandria
Functional: PBE-GGA
Structure: optimized geometry

Cell lengths 5.2220, 5.2220, 12.5997 Å; angles 90.00, 90.00, 120.00 degrees
Space group R-3m (No. 166, hexagonal axes)
Unique sites:
Sc 0.0000 0.0000 0.1231 [6 per cell]
Si 0.0000 0.0000 0.5000 [3 per cell]
Tc 0.0000 0.5000 0.0000 [9 per cell]

Output
The energy relative to the elements, uncorrected comes out at -0.48 eV/atom.

***

Compound: ScSiTc2
Source: Alexandria
Functional: PBE-GGA
Structure: optimized geometry

Cell lengths 3.1118, 4.2176, 9.1672 Å; angles 90.00, 90.00, 90.00 degrees
Space group Imm2 (No. 44)
Unique sites:
Sc 0.0000 0.0000 0.0000 [2 per cell]
Si 0.0000 0.5000 0.7729 [2 per cell]
Tc 0.0000 0.0000 0.5025 [2 per cell]
Tc 0.0000 0.5000 0.2422 [2 per cell]

Output
The energy relative to the elements, uncorrected comes out at -0.38 eV/atom.

***

Compound: ScSiTc2
Source: Alexandria
Functional: PBE-GGA
Structure: optimized geometry

Cell lengths 3.0242, 4.3436, 4.9171 Å; angles 90.00, 104.50, 90.00 degrees
Space group Pm (No. 6)
Unique sites:
Sc 0.0000 0.0000 0.0000 [1 per cell]
Si 0.5815 0.5000 0.2116 [1 per cell]
Tc 0.2683 0.5000 0.6633 [1 per cell]
Tc 0.5930 0.0000 0.4925 [1 per cell]

Output
The energy relative to the elements, uncorrected comes out at -0.31 eV/atom.

***

Compound: Sc2SiTc
Source: Alexandria
Functional: PBE-GGA
Structure: optimized geometry

Cell lengths 3.6887, 4.7244, 8.1218 Å; angles 90.00, 90.00, 90.00 degrees
Space group Cmmm (No. 65)
Unique sites:
Sc 0.0000 0.0000 0.2444 [4 per cell]
Si 0.0000 0.5000 0.5000 [2 per cell]
Tc 0.0000 0.5000 0.0000 [2 per cell]

Output
The energy relative to the elements, uncorrected comes out at -0.25 eV/atom.

***

Compound: Sc2SiTc
Source: Alexandria
Functional: PBE-GGA
Structure: optimized geometry

Cell lengths 9.4286, 4.7530, 8.3608 Å; angles 90.00, 117.63, 90.00 degrees
Space group C2/c (No. 15)
Unique sites:
Sc 0.1829 0.0275 0.0932 [8 per cell]
Si 0.0000 0.3202 0.2500 [4 per cell]
Tc 0.0000 0.1793 0.7500 [4 per cell]

Output
The energy relative to the elements, uncorrected comes out at -0.25 eV/atom.

***

Compound: Sc2TlSiTc
Source: Alexandria
Functional: PBE-GGA
Structure: optimized geometry

Cell lengths 4.9209, 4.9209, 5.2220 Å; angles 90.00, 90.00, 90.00 degrees
Space group P4/mmm (No. 123)
Unique sites:
Sc 0.0000 0.5000 0.0000 [2 per cell]
Tl 0.0000 0.0000 0.5000 [1 per cell]
Si 0.5000 0.5000 0.5000 [1 per cell]
Tc 0.0000 0.0000 0.0000 [1 per cell]

Output
The energy relative to the elements, uncorrected comes out at 0.51 eV/atom.

***

Compound: Sc2Si2Tc5W
Source: Alexandria
Functional: PBE-GGA
Structure: optimized geometry

Cell lengths 9.8228, 9.8228, 3.2757 Å; angles 90.00, 90.00, 90.00 degrees
Space group P4/mbm (No. 127)
Unique sites:
Sc 0.1706 0.3294 0.0000 [4 per cell]
Si 0.1277 0.6277 0.0000 [4 per cell]
Tc 0.0000 0.5000 0.5000 [2 per cell]
Tc 0.0670 0.7996 0.5000 [8 per cell]
W 0.0000 0.0000 0.0000 [2 per cell]

Output
The energy relative to the elements, uncorrected comes out at -0.38 eV/atom.

***

Compound: ScSi2Te
Source: Alexandria
Functional: PBE-GGA
Structure: optimized geometry

Cell lengths 3.7868, 3.7868, 5.6853 Å; angles 90.00, 90.00, 90.00 degrees
Space group P4/mmm (No. 123)
Unique sites:
Sc 0.0000 0.0000 0.0000 [1 per cell]
Si 0.5000 0.5000 0.2049 [2 per cell]
Te 0.0000 0.0000 0.5000 [1 per cell]

Output
The energy relative to the elements, uncorrected comes out at -0.10 eV/atom.